The following is a GGA-PBE calculation of crystalline BeCoBr2 at its relaxed geometry, from the Alexandria database.

Cell: 3.222 8.799 8.951 Å, 90.00 90.00 90.00°
Space group Imm2 (No. 44)
Inequivalent atoms, fractional coordinates:
Be 0.000 0.000 0.000 [2 per cell]
Co 0.000 0.500 0.706 [2 per cell]
Br 0.000 0.000 0.395 [2 per cell]
Br 0.000 0.500 0.339 [2 per cell]

Values from the calculation:
As for the volume: 253.7 Å³ per cell. As for the energy above the most stable polymorph in this dataset: 0.271 eV per atom. The uncorrected formation energy comes out at 19.1 kJ/mol of atoms.

---

The following is a GGA-PBE calculation of crystalline BeCoBr at its relaxed geometry, from the Alexandria database.

Cell: 5.509 5.509 5.509 Å, 90.00 90.00 90.00°
Space group F-43m (No. 216)
Inequivalent atoms, fractional coordinates:
Be 0.000 0.000 0.000 [4 per cell]
Co 0.250 0.250 0.250 [4 per cell]
Br 0.000 0.000 0.500 [4 per cell]

Values from the calculation:
As for the volume: 167.2 Å³ per cell. As for the energy above the most stable polymorph in this dataset: 0.803 eV per atom. The uncorrected formation energy comes out at 60.0 kJ/mol of atoms.

---

The following is a GGA-PBE calculation of crystalline Be2CoBr6 at its relaxed geometry, from the Alexandria database.

Cell: 13.347 13.753 6.276 Å, 90.00 114.86 90.00°
Space group C2/c (No. 15)
Inequivalent atoms, fractional coordinates:
Be 0.229 0.077 0.351 [8 per cell]
Co 0.000 0.279 0.250 [4 per cell]
Br 0.101 0.382 0.583 [8 per cell]
Br 0.116 0.188 0.117 [8 per cell]
Br 0.196 0.065 0.665 [8 per cell]

Values from the calculation:
As for the volume: 1045.3 Å³ per cell. The uncorrected formation energy comes out at -70.8 kJ/mol of atoms.

---

The following is a GGA-PBE calculation of crystalline BeCoBr2 at its relaxed geometry, from the Alexandria database.

Cell: 4.138 3.424 6.533 Å, 90.00 95.88 90.00°
Space group Pm (No. 6)
Inequivalent atoms, fractional coordinates:
Be 0.000 0.000 0.000 [1 per cell]
Co 0.655 0.500 0.987 [1 per cell]
Br 0.035 0.500 0.751 [1 per cell]
Br 0.449 0.000 0.211 [1 per cell]

Values from the calculation:
As for the volume: 92.1 Å³ per cell. As for the energy above the most stable polymorph in this dataset: 0.058 eV per atom. The uncorrected formation energy comes out at -1.5 kJ/mol of atoms.